# RbIn3S5, optimized geometry, DFT PBE
# - E (eV/atom) = -4.0429
# - E_form (uncorrected) (kcal/mol of atoms) = -16.82
data_RbIn3S5
_chemical_formula_sum 'Rb3 In9 S15'
_symmetry_space_group_name_H-M 'P 1'
_symmetry_Int_Tables_number 1
_symmetry_space_group_name_Hall 'P 1'
_cell_length_a 3.833
_cell_length_b 12.622
_cell_length_c 15.665
_cell_angle_alpha 67.00
_cell_angle_beta 90.00
_cell_angle_gamma 90.00
loop_
_atom_site_label
_atom_site_type_symbol
_atom_site_fract_x
_atom_site_fract_y
_atom_site_fract_z
Rb1 Rb 0.000 0.500 0.000
Rb2 Rb 0.500 0.137 0.576
Rb3 Rb 0.500 0.863 0.424
In1 In 0.500 0.179 0.837
In2 In 0.500 0.821 0.163
In3 In 0.500 0.500 0.500
In4 In 0.000 0.491 0.709
In5 In 0.000 0.509 0.291
In6 In 0.500 0.783 0.727
In7 In 0.500 0.217 0.273
In8 In 0.000 0.887 0.929
In9 In 0.000 0.113 0.071
S1 S 0.000 0.270 0.902
S2 S 0.000 0.730 0.098
S3 S 0.500 0.566 0.786
S4 S 0.500 0.434 0.214
S5 S 0.000 0.074 0.783
S6 S 0.000 0.926 0.217
S7 S 0.000 0.621 0.537
S8 S 0.000 0.379 0.463
S9 S 0.500 0.773 0.891
S10 S 0.500 0.227 0.109
S11 S 0.000 0.879 0.627
S12 S 0.000 0.121 0.373
S13 S 0.500 0.365 0.682
S14 S 0.500 0.635 0.318
S15 S 0.500 0.000 0.000

=====

# V2CrFeH, optimized geometry, DFT PBE
# - E (eV/atom) = -7.9273
# - Fermi-level density of states (states/eV/f.u.) = 4.4
data_V2CrFeH
_chemical_formula_sum 'V2 Cr1 Fe1 H1'
_symmetry_space_group_name_H-M 'P 1'
_symmetry_Int_Tables_number 1
_symmetry_space_group_name_Hall 'P 1'
_cell_length_a 4.009
_cell_length_b 4.009
_cell_length_c 3.224
_cell_angle_alpha 90.00
_cell_angle_beta 90.00
_cell_angle_gamma 90.00
loop_
_atom_site_label
_atom_site_type_symbol
_atom_site_fract_x
_atom_site_fract_y
_atom_site_fract_z
Cr1 Cr 0.000 0.000 0.500
Fe1 Fe 0.500 0.500 0.500
H1 H 0.000 0.000 0.000
V1 V 0.000 0.500 0.000
V2 V 0.500 0.000 0.000

=====

# NaAlIO2, optimized geometry, DFT PBE
# - E (eV/atom) = -2.8519
# - E_form (uncorrected) (kcal/mol of atoms) = 10.46
# - Fermi-level density of states (states/eV/f.u.) = 8.1
data_NaAlIO2
_chemical_formula_sum 'Na1 Al1 I1 O2'
_symmetry_space_group_name_H-M 'P 1'
_symmetry_Int_Tables_number 1
_symmetry_space_group_name_Hall 'P 1'
_cell_length_a 4.280
_cell_length_b 4.280
_cell_length_c 5.809
_cell_angle_alpha 90.00
_cell_angle_beta 90.00
_cell_angle_gamma 90.00
loop_
_atom_site_label
_atom_site_type_symbol
_atom_site_fract_x
_atom_site_fract_y
_atom_site_fract_z
I1 I 0.000 0.000 0.500
Na1 Na 0.000 0.000 0.000
Al1 Al 0.500 0.500 0.500
O1 O 0.000 0.500 0.000
O2 O 0.500 0.000 0.000

=====

# GdSbPb2, optimized geometry, DFT PBE
# - E (eV/atom) = -6.2148
# - E_form (uncorrected) (kcal/mol of atoms) = 4.39
# - Fermi-level density of states (states/eV/f.u.) = 5.0
data_GdSbPb2
_chemical_formula_sum 'Gd1 Sb1 Pb2'
_symmetry_space_group_name_H-M 'P 1'
_symmetry_Int_Tables_number 1
_symmetry_space_group_name_Hall 'P 1'
_cell_length_a 3.515
_cell_length_b 3.515
_cell_length_c 12.061
_cell_angle_alpha 81.62
_cell_angle_beta 81.62
_cell_angle_gamma 60.00
loop_
_atom_site_label
_atom_site_type_symbol
_atom_site_fract_x
_atom_site_fract_y
_atom_site_fract_z
Pb1 Pb 0.090 0.090 0.730
Pb2 Pb 0.910 0.910 0.270
Sb1 Sb 0.500 0.500 0.500
Gd1 Gd 0.000 0.000 0.000

=====

# Th8FeSe4S3, optimized geometry, DFT PBE
# - E (eV/atom) = -7.3756
# - E_form (uncorrected) (kcal/mol of atoms) = -34.40
# - Fermi-level density of states (states/eV/f.u.) = 9.5
data_Th8FeSe4S3
_chemical_formula_sum 'Th8 Fe1 Se4 S3'
_symmetry_space_group_name_H-M 'P 1'
_symmetry_Int_Tables_number 1
_symmetry_space_group_name_Hall 'P 1'
_cell_length_a 8.200
_cell_length_b 8.377
_cell_length_c 8.200
_cell_angle_alpha 119.30
_cell_angle_beta 120.00
_cell_angle_gamma 90.00
loop_
_atom_site_label
_atom_site_type_symbol
_atom_site_fract_x
_atom_site_fract_y
_atom_site_fract_z
Th1 Th 0.236 0.726 0.990
Th2 Th 0.236 0.726 0.472
Th3 Th 0.256 0.268 0.512
Th4 Th 0.754 0.726 0.990
Th5 Th 0.246 0.274 0.010
Th6 Th 0.744 0.732 0.488
Th7 Th 0.764 0.274 0.528
Th8 Th 0.764 0.274 0.010
Fe1 Fe 0.000 0.500 0.000
Se1 Se 0.500 0.000 0.000
Se2 Se 0.500 0.000 0.500
Se3 Se 0.000 0.000 0.000
Se4 Se 0.000 0.000 0.500
S1 S 0.500 0.500 0.000
S2 S 0.500 0.500 0.500
S3 S 0.000 0.500 0.500

=====

# Ba4NiP, optimized geometry, DFT PBE
# - energy relative to the elements (eV/atom) = 0.754
# - E (eV/atom) = -2.3930
# - Fermi-level density of states (states/eV/f.u.) = 4.7
data_Ba4NiP
_chemical_formula_sum 'Ba4 Ni1 P1'
_symmetry_space_group_name_H-M 'P 1'
_symmetry_Int_Tables_number 1
_symmetry_space_group_name_Hall 'P 1'
_cell_length_a 6.882
_cell_length_b 6.882
_cell_length_c 6.882
_cell_angle_alpha 60.00
_cell_angle_beta 60.00
_cell_angle_gamma 60.00
loop_
_atom_site_label
_atom_site_type_symbol
_atom_site_fract_x
_atom_site_fract_y
_atom_site_fract_z
Ba1 Ba 0.877 0.374 0.374
Ba2 Ba 0.374 0.374 0.877
Ba3 Ba 0.374 0.877 0.374
Ba4 Ba 0.374 0.374 0.374
Ni1 Ni 0.750 0.750 0.750
P1 P 0.000 0.000 0.000